(1)
First-principles (PBE) data for CsSnF3 after structural relaxation, as listed in Alexandria.

Results
Formation energy from raw total energies ... -2449 meV/atom
Density ... 4.3 g/cm³
Calculated total energy ... -90.9 eV/cell

Unit cell a=15.554 b=3.767 c=8.060 alpha=90.00 beta=91.96 gamma=90.00
Space group C2/m (No. 12)
Unique sites:
Cs  0.134  0.000  0.337 [4 per cell]
Sn  0.135  0.500  0.843 [4 per cell]
F  0.053  0.000  0.742 [4 per cell]
F  0.173  0.500  0.599 [4 per cell]
F  0.231  0.000  0.847 [4 per cell]

(2)
First-principles (PBE) data for Pm3CoCl after structural relaxation, as listed in Alexandria.

Results
Formation energy from raw total energies ... -526 meV/atom
Density ... 6.3 g/cm³
Calculated total energy ... -51.7 eV/cell
Offset from the most stable computed form ... 98 meV per atom

Unit cell a=3.726 b=9.690 c=7.675 alpha=90.00 beta=90.00 gamma=90.00
Space group Pmmn (No. 59, origin choice 2)
Unique sites:
Pm  0.250  0.074  0.171 [4 per cell]
Pm  0.250  0.250  0.738 [2 per cell]
Co  0.250  0.750  0.018 [2 per cell]
Cl  0.250  0.750  0.574 [2 per cell]

(3)
First-principles (PBE) data for Ca2Pb after structural relaxation, as listed in Alexandria.

Results
Density ... 4.6 g/cm³
Calculated total energy ... -35.6 eV/cell
Formation energy from the elements ... -1.19 eV per formula unit

Unit cell a=15.813 b=3.777 c=6.911 alpha=90.00 beta=90.04 gamma=90.00
Space group Cm (No. 8)
Unique sites:
Ca  0.000  0.000  0.000 [2 per cell]
Ca  0.000  0.000  0.500 [2 per cell]
Ca  0.197  0.500  0.251 [2 per cell]
Ca  0.303  0.000  0.750 [2 per cell]
Pb  0.134  0.500  0.750 [2 per cell]
Pb  0.366  0.000  0.249 [2 per cell]